# VAgO3 (GGA+U, relaxed)
# - Volume: 13.187 Å³/atom
# - Raw total energy: -6.36 eV/atom
data_VAgO3
_chemical_formula_sum 'V8 Ag8 O24'
_symmetry_space_group_name_H-M 'C 1 m 1'
_symmetry_Int_Tables_number 8
_cell_length_a 18.4622
_cell_length_b 3.6242
_cell_length_c 8.1561
_cell_angle_alpha 90.00
_cell_angle_beta 104.86
_cell_angle_gamma 90.00
loop_
_symmetry_equiv_pos_as_xyz
'x,y,z'
'x,-y,z'
'x+1/2,y+1/2,z'
'x+1/2,-y+1/2,z'
loop_
_atom_site_label
_atom_site_type_symbol
_atom_site_fract_x
_atom_site_fract_y
_atom_site_fract_z
V1 V 0.0000 0.0000 0.0000
V2 V 0.0497 0.5000 0.3325
V3 V 0.1903 0.0000 0.1993
V4 V 0.2439 0.5000 0.5313
Ag1 Ag 0.1203 0.0000 0.7237
Ag2 Ag 0.3224 0.0000 0.8988
Ag3 Ag 0.3698 0.5000 0.2618
Ag4 Ag 0.4195 0.0000 0.6342
O1 O 0.0206 0.5000 0.0635
O2 O 0.0605 0.0000 0.2699
O3 O 0.1117 0.5000 0.5322
O4 O 0.1272 0.0000 0.0055
O5 O 0.1814 0.5000 0.2681
O6 O 0.2213 0.0000 0.4722
O7 O 0.2534 0.5000 0.7461
O8 O 0.2755 0.0000 0.1585
O9 O 0.3361 0.5000 0.5186
O10 O 0.4072 0.5000 0.0101
O11 O 0.4641 0.0000 0.3706
O12 O 0.4898 0.5000 0.7846